No. 1
Material: NdHoEr2Te6
Method: DFT, PBE
State: relaxed

```
NdHoEr2Te6
1.0
-1.8804 3.6965 -6.5189
-1.8186 -4.0281 -6.3376
-7.9819 -0.1191 -2.3433
Nd Ho Er Te
1 1 2 6
direct
0.8196 0.8196 0.5414
0.3225 0.3225 0.0324
0.5092 0.5092 0.4724
0.0071 0.0071 0.9786
0.6039 0.2378 0.2461
0.2379 0.9122 0.2461
0.9121 0.6039 0.2461
0.3989 0.7330 0.7507
0.7330 0.1174 0.7507
0.1173 0.3989 0.7507
```

M_tot: 0.00 μB per formula unit
electronic total energy: -5.085 eV per atom
space-group type: R3

=====

No. 2
Material: CrB3Ru
Method: DFT, PBE
State: relaxed

```
CrB3Ru
1.0
-1.3574 0.4269 -3.6659
-1.4873 -3.6381 0.1270
-3.3778 1.4303 1.4172
Ru B Cr
1 3 1
direct
0.0000 0.0000 0.0000
0.0000 0.5000 0.0000
0.0000 0.0000 0.5000
0.5000 0.0000 0.0000
0.5000 0.5000 0.5000
```

energy of formation from the pure elements: 1.38 eV per atom
M_tot: 0.07 μB per formula unit
ΔE to the lowest computed polymorph: 3.84 kcal/mol of atoms
density of states at the Fermi level: 2.065 states/eV/atom
space-group type: Pm-3m